Here is an optimized crystal structure of Li9Co7O16 from Alexandria via LeMat-Bulk. Energies are from PBE with a Hubbard U.

Unit cell a=2.838 b=5.002 c=18.718 alpha=94.12 beta=90.11 gamma=90.02
Element x y z (fractional)
Li 0.999 0.625 0.875
Li 0.493 0.754 0.751
Li 0.003 0.868 0.624
Li 0.502 0.998 0.500
Li 0.000 0.125 0.375
Li 0.499 0.252 0.250
Li 0.998 0.382 0.126
Li 0.506 0.495 0.999
Li 0.500 0.125 0.875
Co 0.991 0.006 0.999
Co 0.009 0.244 0.751
Co 0.503 0.371 0.624
Co 0.002 0.498 0.499
Co 0.500 0.625 0.375
Co 0.999 0.753 0.251
Co 0.497 0.879 0.126
O 0.504 0.832 0.947
O 0.994 0.962 0.805
O 0.510 0.093 0.690
O 0.003 0.212 0.564
O 0.501 0.341 0.440
O 0.999 0.468 0.315
O 0.498 0.595 0.191
O 0.995 0.723 0.067
O 0.495 0.418 0.803
O 0.005 0.527 0.683
O 0.502 0.655 0.559
O 0.001 0.783 0.435
O 0.500 0.910 0.310
O 0.997 0.038 0.186
O 0.490 0.157 0.060
O 0.006 0.288 0.945

## Properties
Offset from the most stable computed form: 0.23 kcal/mol of atoms

=====

Here is an optimized crystal structure of Li5Co3O8 from Alexandria via LeMat-Bulk. Energies are from PBE with a Hubbard U.

Unit cell a=2.978 b=5.057 c=9.875 alpha=101.20 beta=92.48 gamma=104.37
Element x y z (fractional)
Li 0.757 0.498 0.875
Li 0.243 0.502 0.125
Li 0.749 0.513 0.374
Li 0.251 0.487 0.626
Li 0.500 0.000 0.500
Co 0.010 0.997 0.741
Co 0.990 0.003 0.259
Co 0.500 0.000 0.000
O 0.361 0.773 0.821
O 0.860 0.781 0.073
O 0.348 0.773 0.307
O 0.884 0.761 0.582
O 0.140 0.219 0.927
O 0.639 0.227 0.179
O 0.116 0.239 0.418
O 0.652 0.227 0.693

## Properties
Offset from the most stable computed form: 1.41 kcal/mol of atoms

=====

Here is an optimized crystal structure of Li3Co2O5 from Alexandria via LeMat-Bulk. Energies are from PBE with a Hubbard U.

Unit cell a=4.963 b=5.024 c=7.548 alpha=83.36 beta=72.48 gamma=71.82
Element x y z (fractional)
Li 0.000 0.500 0.500
Li 0.591 0.503 0.304
Li 0.182 0.512 0.106
Li 0.818 0.488 0.894
Li 0.409 0.497 0.696
Li 0.500 0.000 0.500
Co 0.904 0.992 0.694
Co 0.096 0.008 0.306
Co 0.690 0.008 0.109
Co 0.310 0.992 0.891
O 0.673 0.761 0.706
O 0.217 0.780 0.496
O 0.852 0.785 0.288
O 0.425 0.791 0.110
O 0.059 0.772 0.885
O 0.327 0.239 0.294
O 0.941 0.228 0.115
O 0.575 0.209 0.890
O 0.148 0.215 0.712
O 0.783 0.220 0.504

## Properties
Offset from the most stable computed form: 0.88 kcal/mol of atoms

=====

Here is an optimized crystal structure of Li4Co3O7 from Alexandria via LeMat-Bulk. Energies are from PBE with a Hubbard U.

Unit cell a=4.953 b=5.040 c=10.474 alpha=85.17 beta=77.81 gamma=72.20
Element x y z (fractional)
Li 0.000 0.500 0.500
Li 0.567 0.500 0.361
Li 0.134 0.507 0.220
Li 0.719 0.500 0.068
Li 0.281 0.500 0.932
Li 0.866 0.493 0.780
Li 0.433 0.500 0.639
Li 0.500 0.000 0.500
Co 0.927 0.996 0.636
Co 0.073 0.004 0.364
Co 0.636 0.006 0.223
Co 0.208 0.998 0.075
Co 0.792 0.002 0.925
Co 0.364 0.994 0.777
O 0.700 0.764 0.643
O 0.214 0.781 0.499
O 0.823 0.785 0.349
O 0.377 0.783 0.230
O 0.976 0.760 0.068
O 0.530 0.778 0.923
O 0.103 0.778 0.775
O 0.300 0.236 0.357
O 0.897 0.222 0.225
O 0.470 0.222 0.077
O 0.024 0.240 0.932
O 0.623 0.217 0.770
O 0.177 0.215 0.651
O 0.786 0.219 0.501

## Properties
Offset from the most stable computed form: 1.23 kcal/mol of atoms

=====

no.,total moment (μB/f.u.)
1,2.02
2,8.01
3,3.00
4,7.00